Cd2SeBr: optimized geometry, PBE-GGA.

Cell lengths 4.2121, 4.2160, 5.8597 Å; angles 90.00, 90.00, 90.00 degrees
With the nearest neighbours (Å) after each atom.
Fractional coordinates of all 4 atoms:
Br (0.5000, 0.5000, 0.8750)  6 Cd 2.93-2.98
Cd (0.0000, 0.0000, 0.8750)  2 Se 2.93, 4 Br 2.98
Se (0.0000, 0.0000, 0.3750)  6 Cd 2.93-2.98
Cd (0.5000, 0.5000, 0.3750)  2 Br 2.93, 4 Se 2.98

Values from the calculation:
M_tot	0.00	Bohr magnetons per cell
total DFT energy (no corrections)	-2.16	eV per atom
space group	P4/mmm, No. 123
theoretical density	6123	kg/m3
ΔE to the lowest computed polymorph	28	meV/atom

CdSeBr2: optimized geometry, PBE-GGA.

Cell lengths 5.1742, 5.1742, 5.1742 Å; angles 60.00, 60.00, 60.00 degrees
With the nearest neighbours (Å) after each atom.
Fractional coordinates of all 4 atoms:
Se (0.7500, 0.7500, 0.7500)  4 Br 3.17, 4 Cd 3.17
Cd (0.5000, 0.5000, 0.5000)  4 Br 3.17, 4 Se 3.17
Br (0.0000, 0.0000, 0.0000)  4 Se 3.17, 4 Br 3.17
Br (0.2500, 0.2500, 0.2500)  4 Cd 3.17, 4 Br 3.17

Values from the calculation:
M_tot	0.35	Bohr magnetons per cell
total DFT energy (no corrections)	-1.69	eV per atom
space group	F-43m, No. 216
theoretical density	5953	kg/m3
ΔE to the lowest computed polymorph	656	meV/atom

Cd2SeBr: optimized geometry, PBE-GGA.

Cell lengths 4.1231, 6.9358, 3.9039 Å; angles 90.00, 90.00, 90.00 degrees
With the nearest neighbours (Å) after each atom.
Fractional coordinates of all 4 atoms:
Br (0.0000, 0.5000, 0.5000)  4 Cd 2.84
Cd (0.0000, 0.0000, 0.0000)  4 Se 2.84
Se (0.5000, 0.0000, 0.5000)  4 Cd 2.84
Cd (0.5000, 0.5000, 0.0000)  4 Br 2.84

Values from the calculation:
M_tot	0.00	Bohr magnetons per cell
total DFT energy (no corrections)	-2.00	eV per atom
space group	Pmmm, No. 47
theoretical density	5707	kg/m3
ΔE to the lowest computed polymorph	190	meV/atom

CdSeBr2: optimized geometry, PBE-GGA.

Cell lengths 4.3816, 4.3816, 8.6473 Å; angles 102.78, 102.78, 57.94 degrees
With the nearest neighbours (Å) after each atom.
Fractional coordinates of all 4 atoms:
Se (0.1159, 0.1159, 0.3274)  1 Br 2.36
Br (0.8815, 0.8815, 0.6592)  3 Cd 2.92-3.07, 1 Br 3.24
Cd (0.4846, 0.4846, 0.4674)  3 Se 2.76-2.78, 3 Br 2.92-3.07
Br (0.0180, 0.0180, 0.0460)  1 Se 2.36

Values from the calculation:
M_tot	0.00	Bohr magnetons per cell
total DFT energy (no corrections)	-2.35	eV per atom
space group	Cm, No. 8
theoretical density	4284	kg/m3
ΔE to the lowest computed polymorph	0	meV/atom

Cd2SeBr: optimized geometry, PBE-GGA.

Cell lengths 6.4887, 6.4887, 8.0602 Å; angles 66.26, 66.26, 90.00 degrees
With the nearest neighbours (Å) after each atom.
Fractional coordinates of all 8 atoms:
Br (0.7500, 0.2500, 0.5000)  4 Cd 2.97
Cd (0.1598, 0.6250, 0.2500)  2 Se 2.71, 2 Br 2.97
Cd (0.3750, 0.4098, 0.7500)  2 Se 2.71, 2 Br 2.97
Cd (0.8750, 0.8402, 0.7500)  2 Se 2.71, 2 Br 2.97
Se (0.2500, 0.7500, 0.5000)  4 Cd 2.71
Cd (0.5902, 0.1250, 0.2500)  2 Se 2.71, 2 Br 2.97
Br (0.0000, 0.0000, 0.0000)  4 Cd 2.97
Se (0.5000, 0.5000, 0.0000)  4 Cd 2.71

Values from the calculation:
M_tot	0.00	Bohr magnetons per cell
total DFT energy (no corrections)	-2.16	eV per atom
space group	I-42d, No. 122
theoretical density	4567	kg/m3
ΔE to the lowest computed polymorph	28	meV/atom

Cd2SeBr: optimized geometry, PBE-GGA.

Cell lengths 5.7605, 5.7605, 5.7605 Å; angles 138.49, 100.71, 93.74 degrees
With the nearest neighbours (Å) after each atom.
Fractional coordinates of all 4 atoms:
Cd (0.9823, 0.9823, 0.0000)  2 Se 2.74, 2 Br 2.93
Se (0.7500, 0.2500, 0.5000)  4 Cd 2.74
Br (0.2500, 0.7500, 0.5000)  4 Cd 2.93
Cd (0.5177, 0.5177, 0.0000)  2 Se 2.74, 2 Br 2.93

Values from the calculation:
M_tot	0.00	Bohr magnetons per cell
total DFT energy (no corrections)	-2.05	eV per atom
space group	Immm, No. 71
theoretical density	5391	kg/m3
ΔE to the lowest computed polymorph	140	meV/atom

CdSeBr2: optimized geometry, PBE-GGA.

Cell lengths 3.3916, 3.3922, 11.2659 Å; angles 90.00, 90.00, 90.00 degrees
With the nearest neighbours (Å) after each atom.
Fractional coordinates of all 4 atoms:
Br (0.0000, 0.0000, 0.0960)  4 Cd 2.96
Br (0.0000, 0.0000, 0.4040)  4 Cd 2.96
Cd (0.5000, 0.5000, 0.2500)  8 Br 2.96
Se (0.5000, 0.5000, 0.7500)  4 Se 3.39

Values from the calculation:
M_tot	0.68	Bohr magnetons per cell
total DFT energy (no corrections)	-1.89	eV per atom
space group	P4/mmm, No. 123
theoretical density	4499	kg/m3
ΔE to the lowest computed polymorph	459	meV/atom

CdSeBr2: optimized geometry, PBE-GGA.

Cell lengths 3.5390, 3.5390, 8.4976 Å; angles 90.00, 90.00, 90.00 degrees
With the nearest neighbours (Å) after each atom.
Fractional coordinates of all 4 atoms:
Br (0.0000, 0.0000, 0.9381)  4 Se 3.11
Se (0.5000, 0.5000, 0.7209)  4 Cd 3.03, 4 Br 3.11
Br (0.5000, 0.5000, 0.3211)  4 Cd 3.02
Cd (0.0000, 0.0000, 0.5198)  4 Br 3.02, 4 Se 3.03

Values from the calculation:
M_tot	0.00	Bohr magnetons per cell
total DFT energy (no corrections)	-1.89	eV per atom
space group	P4mm, No. 99
theoretical density	5479	kg/m3
ΔE to the lowest computed polymorph	461	meV/atom

CdSeBr2: optimized geometry, PBE-GGA.

Cell lengths 5.2570, 5.2570, 5.2570 Å; angles 60.00, 60.00, 60.00 degrees
With the nearest neighbours (Å) after each atom.
Fractional coordinates of all 4 atoms:
Br (0.2500, 0.2500, 0.2500)  4 Cd 3.22, 4 Se 3.22
Se (0.0000, 0.0000, 0.0000)  8 Br 3.22
Br (0.7500, 0.7500, 0.7500)  4 Se 3.22, 4 Cd 3.22
Cd (0.5000, 0.5000, 0.5000)  8 Br 3.22

Values from the calculation:
M_tot	2.01	Bohr magnetons per cell
total DFT energy (no corrections)	-1.70	eV per atom
space group	Fm-3m, No. 225
theoretical density	5676	kg/m3
ΔE to the lowest computed polymorph	654	meV/atom

Cd2SeBr: optimized geometry, PBE-GGA.

Cell lengths 4.3158, 4.3158, 7.8997 Å; angles 90.00, 90.00, 123.43 degrees
With the nearest neighbours (Å) after each atom.
Fractional coordinates of all 4 atoms:
Se (0.5000, 0.5000, 0.2500)  4 Cd 2.72
Cd (0.0000, 0.0000, 0.4778)  2 Se 2.72, 2 Br 2.97
Br (0.5000, 0.5000, 0.7500)  4 Cd 2.97
Cd (0.0000, 0.0000, 0.0222)  2 Se 2.72, 2 Br 2.97

Values from the calculation:
M_tot	0.00	Bohr magnetons per cell
total DFT energy (no corrections)	-2.05	eV per atom
space group	Cmmm, No. 65
theoretical density	5189	kg/m3
ΔE to the lowest computed polymorph	139	meV/atom

Cd2SeBr: optimized geometry, PBE-GGA.

Cell lengths 5.1631, 5.1631, 5.1631 Å; angles 60.00, 60.00, 60.00 degrees
With the nearest neighbours (Å) after each atom.
Fractional coordinates of all 4 atoms:
Se (0.7500, 0.7500, 0.7500)  4 Cd 3.16, 4 Br 3.16
Cd (0.2500, 0.2500, 0.2500)  4 Cd 3.16, 4 Br 3.16
Cd (0.0000, 0.0000, 0.0000)  4 Se 3.16, 4 Cd 3.16
Br (0.5000, 0.5000, 0.5000)  4 Cd 3.16, 4 Se 3.16

Values from the calculation:
M_tot	0.00	Bohr magnetons per cell
total DFT energy (no corrections)	-1.62	eV per atom
space group	F-43m, No. 216
theoretical density	6546	kg/m3
ΔE to the lowest computed polymorph	563	meV/atom

Cd2SeBr: optimized geometry, PBE-GGA.

Cell lengths 3.8611, 4.0055, 7.1652 Å; angles 92.02, 90.00, 90.00 degrees
With the nearest neighbours (Å) after each atom.
Fractional coordinates of all 4 atoms:
Br (0.5000, 0.7500, 0.7500)  4 Cd 2.93
Cd (0.0000, 0.8654, 0.0526)  2 Se 2.82, 2 Br 2.93, 1 Cd 3.01
Cd (0.0000, 0.6346, 0.4474)  2 Se 2.82, 2 Br 2.93, 1 Cd 3.01
Se (0.5000, 0.2500, 0.2500)  4 Cd 2.82

Values from the calculation:
M_tot	0.00	Bohr magnetons per cell
total DFT energy (no corrections)	-2.08	eV per atom
space group	P2/m, No. 10
theoretical density	5753	kg/m3
ΔE to the lowest computed polymorph	109	meV/atom

no.,E_form (uncorrected) (eV/atom)
1,-0.412
2,0.242
3,-0.250
4,-0.414
5,-0.412
6,-0.300
7,0.045
8,0.047
9,0.240
10,-0.301
11,0.123
12,-0.331